a:
# NaAl2Pb2

A relaxed NaAl2Pb2 crystal (PBE, Alexandria).

Geometry as POSCAR:
```
NaAl2Pb2
1.0
8.4033 0.0000 0.0000
0.0000 8.4033 0.0000
0.0000 0.0000 3.6784
Na Al Pb
2 4 4
direct
0.0000 0.0000 0.0000 Na
0.5000 0.5000 0.0000 Na
0.1168 0.3832 0.0000 Al
0.3832 0.8832 0.0000 Al
0.6168 0.1168 0.0000 Al
0.8832 0.6168 0.0000 Al
0.1761 0.6761 0.5000 Pb
0.3239 0.1761 0.5000 Pb
0.6761 0.8239 0.5000 Pb
0.8239 0.3239 0.5000 Pb
```

Summary:
As for the calculated density: 6.28 g cm⁻³.


b:
# NaAl2Pb2

A relaxed NaAl2Pb2 crystal (PBE, Alexandria).

Geometry as POSCAR:
```
NaAl2Pb2
1.0
-2.0554 2.0554 8.1836
2.0554 -2.0554 8.1836
2.0554 2.0554 -8.1836
Na Al Pb
1 2 2
direct
0.0000 0.0000 0.0000 Na
0.2500 0.7500 0.5000 Al
0.7500 0.2500 0.5000 Al
0.3780 0.3780 0.0000 Pb
0.6220 0.6220 0.0000 Pb
```

Summary:
As for the calculated density: 5.90 g cm⁻³.


Q: Which of them is the most stable? A: b.


a:
# Na2AlPb

A relaxed Na2AlPb crystal (PBE, Alexandria).

Geometry as POSCAR:
```
Na2AlPb
1.0
0.0000 3.7223 3.7223
3.7223 0.0000 3.7223
3.7223 3.7223 0.0000
Na Al Pb
2 1 1
direct
0.2500 0.2500 0.2500 Na
0.7500 0.7500 0.7500 Na
0.0000 0.0000 0.0000 Al
0.5000 0.5000 0.5000 Pb
```

Summary:
As for the calculated density: 4.51 g cm⁻³.


b:
# Na2AlPb

A relaxed Na2AlPb crystal (PBE, Alexandria).

Geometry as POSCAR:
```
Na2AlPb
1.0
-4.3663 4.3663 3.0172
4.3663 -4.3663 3.0172
4.3663 4.3663 -3.0172
Na Al Pb
4 2 2
direct
0.1133 0.6250 0.9883 Na
0.3750 0.3633 0.4883 Na
0.6367 0.1250 0.0117 Na
0.8750 0.8867 0.5117 Na
0.0000 0.0000 0.0000 Al
0.7500 0.2500 0.5000 Al
0.2500 0.7500 0.5000 Pb
0.5000 0.5000 0.0000 Pb
```

Summary:
As for the calculated density: 4.04 g cm⁻³.


c:
# Na2AlPb

A relaxed Na2AlPb crystal (PBE, Alexandria).

Geometry as POSCAR:
```
Na2AlPb
1.0
4.4798 0.0000 0.0000
0.0000 4.4798 0.0000
0.0000 0.0000 5.0768
Na Al Pb
2 1 1
direct
0.0000 0.5000 0.0000 Na
0.5000 0.0000 0.0000 Na
0.0000 0.0000 0.5000 Al
0.5000 0.5000 0.5000 Pb
```

Summary:
As for the calculated density: 4.57 g cm⁻³.


Q: Which of them is the most stable? A: c.


a:
# Na2AlPd2

A relaxed Na2AlPd2 crystal (PBE, Alexandria).

Geometry as POSCAR:
```
Na2AlPd2
1.0
-1.7495 1.7495 7.3147
1.7495 -1.7495 7.3147
1.7495 1.7495 -7.3147
Na Al Pd
2 1 2
direct
0.2500 0.7500 0.5000 Na
0.7500 0.2500 0.5000 Na
0.0000 0.0000 0.0000 Al
0.4102 0.4102 0.0000 Pd
0.5898 0.5898 0.0000 Pd
```

Summary:
As for the calculated density: 5.30 g cm⁻³.


b:
# Na2AlPd2

A relaxed Na2AlPd2 crystal (PBE, Alexandria).

Geometry as POSCAR:
```
Na2AlPd2
1.0
6.3654 0.0000 0.0000
0.0000 6.3654 0.0000
0.0000 0.0000 4.9528
Na Al Pd
4 2 4
direct
0.1694 0.3306 0.0000 Na
0.3306 0.8306 0.0000 Na
0.6694 0.1694 0.0000 Na
0.8306 0.6694 0.0000 Na
0.0000 0.0000 0.5000 Al
0.5000 0.5000 0.5000 Al
0.1474 0.6474 0.5000 Pd
0.3526 0.1474 0.5000 Pd
0.6474 0.8526 0.5000 Pd
0.8526 0.3526 0.5000 Pd
```

Summary:
As for the calculated density: 4.73 g cm⁻³.


Q: Which of them is the most stable? A: b.


a:
# NaAlPdPt

A relaxed NaAlPdPt crystal (PBE, Alexandria).

Geometry as POSCAR:
```
NaAlPdPt
1.0
0.0000 3.1384 3.1384
3.1384 0.0000 3.1384
3.1384 3.1384 0.0000
Na Al Pd Pt
1 1 1 1
direct
0.0000 0.0000 0.0000 Na
0.5000 0.5000 0.5000 Al
0.7500 0.7500 0.7500 Pd
0.2500 0.2500 0.2500 Pt
```

Summary:
As for the calculated density: 9.44 g cm⁻³.


b:
# NaAlPdPt

A relaxed NaAlPdPt crystal (PBE, Alexandria).

Geometry as POSCAR:
```
NaAlPdPt
1.0
2.9340 0.0000 0.0000
0.0000 2.9340 0.0000
0.0000 0.0000 7.7635
Na Al Pd Pt
1 1 1 1
direct
0.0000 0.0000 0.0000 Na
0.0000 0.0000 0.4963 Al
0.5000 0.5000 0.6984 Pd
0.5000 0.5000 0.2980 Pt
```

Summary:
As for the calculated density: 8.73 g cm⁻³.


Q: Which of them is the most stable? A: b.


a:
# NaAlPt3

A relaxed NaAlPt3 crystal (PBE, Alexandria).

Geometry as POSCAR:
```
NaAlPt3
1.0
4.5622 0.0000 0.0000
0.0000 4.5622 0.0000
0.0000 0.0000 4.5622
Na Al Pt
1 1 3
direct
0.0000 0.0000 0.0000 Na
0.5000 0.5000 0.5000 Al
0.0000 0.0000 0.5000 Pt
0.0000 0.5000 0.0000 Pt
0.5000 0.0000 0.0000 Pt
```

Summary:
As for the calculated density: 11.11 g cm⁻³.


b:
# NaAlPt3

A relaxed NaAlPt3 crystal (PBE, Alexandria).

Geometry as POSCAR:
```
NaAlPt3
1.0
4.6336 0.0000 0.0000
0.0000 4.6336 0.0000
0.0000 0.0000 4.6336
Na Al Pt
1 1 3
direct
0.0000 0.0000 0.0000 Na
0.5000 0.5000 0.5000 Al
0.0000 0.5000 0.5000 Pt
0.5000 0.0000 0.5000 Pt
0.5000 0.5000 0.0000 Pt
```

Summary:
As for the calculated density: 10.60 g cm⁻³.


Q: Which of them is the most stable? A: b.


a:
# RbNaAl3

A relaxed RbNaAl3 crystal (PBE, Alexandria).

Geometry as POSCAR:
```
RbNaAl3
1.0
6.1069 0.0000 0.0000
0.0000 6.1069 0.0000
0.0000 0.0000 6.1069
Rb Na Al
1 1 3
direct
0.0000 0.0000 0.0000 Rb
0.5000 0.5000 0.5000 Na
0.0000 0.0000 0.5000 Al
0.0000 0.5000 0.0000 Al
0.5000 0.0000 0.0000 Al
```

Summary:
As for the calculated density: 1.38 g cm⁻³.


b:
# RbNaAl3

A relaxed RbNaAl3 crystal (PBE, Alexandria).

Geometry as POSCAR:
```
RbNaAl3
1.0
5.5403 0.0000 0.0000
0.0000 5.5403 0.0000
0.0000 0.0000 5.5403
Rb Na Al
1 1 3
direct
0.0000 0.0000 0.0000 Rb
0.5000 0.5000 0.5000 Na
0.0000 0.5000 0.5000 Al
0.5000 0.0000 0.5000 Al
0.5000 0.5000 0.0000 Al
```

Summary:
As for the calculated density: 1.85 g cm⁻³.


Q: Which of them is the most stable? A: b.


a:
# Na3AlRe

A relaxed Na3AlRe crystal (PBE, Alexandria).

Geometry as POSCAR:
```
Na3AlRe
1.0
5.5915 0.0000 0.0000
0.0000 5.5915 0.0000
0.0000 0.0000 5.5915
Na Al Re
3 1 1
direct
0.0000 0.0000 0.5000 Na
0.0000 0.5000 0.0000 Na
0.5000 0.0000 0.0000 Na
0.0000 0.0000 0.0000 Al
0.5000 0.5000 0.5000 Re
```

Summary:
As for the calculated density: 2.68 g cm⁻³.


b:
# Na3AlRe

A relaxed Na3AlRe crystal (PBE, Alexandria).

Geometry as POSCAR:
```
Na3AlRe
1.0
5.7277 0.0000 0.0000
0.0000 5.7277 0.0000
0.0000 0.0000 5.7277
Na Al Re
3 1 1
direct
0.0000 0.0000 0.5000 Na
0.0000 0.5000 0.0000 Na
0.5000 0.0000 0.0000 Na
0.5000 0.5000 0.5000 Al
0.0000 0.0000 0.0000 Re
```

Summary:
As for the calculated density: 2.49 g cm⁻³.


Q: Which of them is the most stable? A: a.


a:
# Na3AlRu

A relaxed Na3AlRu crystal (PBE, Alexandria).

Geometry as POSCAR:
```
Na3AlRu
1.0
5.5363 0.0000 0.0000
0.0000 5.5363 0.0000
0.0000 0.0000 5.5363
Na Al Ru
3 1 1
direct
0.0000 0.0000 0.5000 Na
0.0000 0.5000 0.0000 Na
0.5000 0.0000 0.0000 Na
0.0000 0.0000 0.0000 Al
0.5000 0.5000 0.5000 Ru
```

Summary:
As for the calculated density: 1.93 g cm⁻³.


b:
# Na3AlRu

A relaxed Na3AlRu crystal (PBE, Alexandria).

Geometry as POSCAR:
```
Na3AlRu
1.0
5.3957 0.0000 0.0000
0.0000 5.3957 0.0000
0.0000 0.0000 5.3957
Na Al Ru
3 1 1
direct
0.0000 0.0000 0.5000 Na
0.0000 0.5000 0.0000 Na
0.5000 0.0000 0.0000 Na
0.5000 0.5000 0.5000 Al
0.0000 0.0000 0.0000 Ru
```

Summary:
As for the calculated density: 2.08 g cm⁻³.


Q: Which of them is the most stable? A: b.